Record 1
Entry from Alexandria via LeMat-Bulk: a relaxed Cu2Te2Pb crystal (PBE).

As for the crystal system: tetragonal. Its uncorrected formation energy is 0.51 eV per formula unit.

The structure belongs to space group P4/mbm (No. 127); the cell edges are 7.730, 7.730 and 3.750 Å and the angles 90.00°, 90.00° and 90.00°. The asymmetric unit holds Cu at (0.114, 0.386, 0.000), Te at (0.175, 0.675, 0.500) and Pb at (0.000, 0.000, 0.000).

=====

Record 2
Entry from Alexandria via LeMat-Bulk: a relaxed ZrInFe2 crystal (PBE).

As for the crystal system: tetragonal. For the calculated total energy, the calculation gives -7.0094 eV per atom.

The structure belongs to space group P4/mmm (No. 123); the cell edges are 3.296, 3.296 and 6.092 Å and the angles 90.00°, 90.00° and 90.00°. The asymmetric unit holds Zr at (0.000, 0.000, 0.000), In at (0.000, 0.000, 0.500) and Fe at (0.500, 0.500, 0.238).

=====

Record 3
Entry from Alexandria via LeMat-Bulk: a relaxed ErZrHgIr crystal (PBE).

As for the crystal system: cubic. For the calculated total energy, the calculation gives -6.0375 eV per atom.

The structure belongs to space group F-43m (No. 216); the cell edges are 6.939, 6.939 and 6.939 Å and the angles 90.00°, 90.00° and 90.00°. The asymmetric unit holds Er at (0.000, 0.000, 0.000), Zr at (0.000, 0.000, 0.500), Hg at (0.250, 0.250, 0.750) and Ir at (0.250, 0.250, 0.250).

=====

Record 4
Entry from Alexandria via LeMat-Bulk: a relaxed Ho12MgSc7 crystal (PBE).

As for the crystal system: trigonal. For the calculated total energy, the calculation gives -4.8877 eV per atom.

The structure belongs to space group R-3 (No. 148, hexagonal axes); the cell edges are 14.3126, 14.3126 and 9.7182 Å and the angles 90.00°, 90.00° and 120.00°. The asymmetric unit holds Ho at (0.0186, 0.2558, 0.0595), Ho at (0.0378, 0.1672, 0.7511), Mg at (0.0000, 0.0000, 0.5000), Sc at (0.0000, 0.0000, 0.0000) and Sc at (0.0781, 0.4931, 0.1093).

=====

Record 5
Entry from Alexandria via LeMat-Bulk: a relaxed Er2TlF7 crystal (PBE).

As for the crystal system: orthorhombic. Its uncorrected formation energy is -37.15 eV per formula unit.

The structure belongs to space group Cmmm (No. 65); the cell edges are 7.006, 11.362 and 4.341 Å and the angles 90.00°, 90.00° and 90.00°. The asymmetric unit holds Er at (0.000, 0.192, 0.000), Tl at (0.000, 0.500, 0.500), F at (0.000, 0.000, 0.000), F at (0.000, 0.201, 0.500) and F at (0.189, 0.354, 0.000).

=====

Record 6
Entry from Alexandria via LeMat-Bulk: a relaxed PmSc2Cd crystal (PBE).

The value obtained for the energy relative to the lowest polymorph listed for this composition is 34 meV per atom. As for the crystal system: tetragonal.

The structure belongs to space group P4/mmm (No. 123); the cell edges are 4.668, 4.668 and 4.698 Å and the angles 90.00°, 90.00° and 90.00°. The asymmetric unit holds Pm at (0.000, 0.000, 0.000), Sc at (0.000, 0.500, 0.500) and Cd at (0.500, 0.500, 0.000).

=====

Record 7
Entry from Alexandria via LeMat-Bulk: a relaxed Cr2PdPbBr crystal (PBE).

As for the crystal system: tetragonal. Its uncorrected formation energy is 4.02 eV per formula unit.

The structure belongs to space group P4/mmm (No. 123); the cell edges are 5.060, 5.060 and 5.030 Å and the angles 90.00°, 90.00° and 90.00°. The asymmetric unit holds Cr at (0.000, 0.500, 0.000), Pd at (0.000, 0.000, 0.000), Pb at (0.500, 0.500, 0.500) and Br at (0.000, 0.000, 0.500).

=====

Record 8
Entry from Alexandria via LeMat-Bulk: a relaxed TlZnOs2 crystal (PBE).

The value obtained for the energy relative to the lowest polymorph listed for this composition is 606 meV per atom. As for the crystal system: cubic.

The structure belongs to space group Fm-3m (No. 225); the cell edges are 6.371, 6.371 and 6.371 Å and the angles 90.00°, 90.00° and 90.00°. The asymmetric unit holds Tl at (0.000, 0.000, 0.000), Zn at (0.000, 0.000, 0.500) and Os at (0.250, 0.250, 0.250).

=====

Record 9
Entry from Alexandria via LeMat-Bulk: a relaxed YHo2Tl crystal (PBE).

The value obtained for the energy relative to the lowest polymorph listed for this composition is 191 meV per atom. As for the crystal system: cubic.

The structure belongs to space group Fm-3m (No. 225); the cell edges are 7.719, 7.719 and 7.719 Å and the angles 90.00°, 90.00° and 90.00°. The asymmetric unit holds Y at (0.000, 0.000, 0.000), Ho at (0.250, 0.250, 0.250) and Tl at (0.000, 0.000, 0.500).

=====

Record 10
Entry from Alexandria via LeMat-Bulk: a relaxed FePt2Rh4 crystal (PBE).

The value obtained for the energy relative to the lowest polymorph listed for this composition is 22 meV per atom. As for the crystal system: monoclinic.

The structure belongs to space group P2_1/c (No. 14); the cell edges are 4.651, 8.750 and 5.232 Å and the angles 90.00°, 93.45° and 90.00°. The asymmetric unit holds Fe at (0.000, 0.000, 0.000), Pt at (0.265, 0.040, 0.592), Rh at (0.041, 0.738, 0.201) and Rh at (0.472, 0.166, 0.049).

=====

Record 11
Entry from Alexandria via LeMat-Bulk: a relaxed Li2TcF crystal (PBE).

The value obtained for the energy relative to the lowest polymorph listed for this composition is 738 meV per atom. As for the crystal system: cubic. Its uncorrected formation energy is 1.24 eV per formula unit.

The structure belongs to space group Fm-3m (No. 225); the cell edges are 6.366, 6.366 and 6.366 Å and the angles 90.00°, 90.00° and 90.00°. The asymmetric unit holds Li at (0.250, 0.250, 0.250), Tc at (0.000, 0.000, 0.000) and F at (0.000, 0.000, 0.500).

=====

Record 12
Entry from Alexandria via LeMat-Bulk: a relaxed Ca3Tl2Hg8 crystal (PBE).

As for the crystal system: trigonal. For the calculated total energy, the calculation gives -1.2031 eV per atom.

The structure belongs to space group R-3m (No. 166, hexagonal axes); the cell edges are 6.1339, 6.1339 and 34.6634 Å and the angles 90.00°, 90.00° and 120.00°. The asymmetric unit holds Ca at (0.0000, 0.0000, 0.0000), Ca at (0.0000, 0.0000, 0.1891), Tl at (0.0000, 0.0000, 0.3646), Hg at (0.0000, 0.0000, 0.2787) and Hg at (0.0005, 0.5002, 0.2233).

=====

Record 13
Entry from Alexandria via LeMat-Bulk: a relaxed TcPdF2 crystal (PBE).

The value obtained for the energy relative to the lowest polymorph listed for this composition is 550 meV per atom. As for the crystal system: cubic. Its uncorrected formation energy is -0.64 eV per formula unit.

The structure belongs to space group Fm-3m (No. 225); the cell edges are 6.025, 6.025 and 6.025 Å and the angles 90.00°, 90.00° and 90.00°. The asymmetric unit holds Tc at (0.000, 0.000, 0.000), Pd at (0.000, 0.000, 0.500) and F at (0.250, 0.250, 0.250).

=====

Record 14
Entry from Alexandria via LeMat-Bulk: a relaxed Al2SnGe2 crystal (PBE).

The value obtained for the energy relative to the lowest polymorph listed for this composition is 0 meV per atom. As for the crystal system: tetragonal.

The structure belongs to space group I4/mmm (No. 139); the cell edges are 4.101, 4.101 and 12.460 Å and the angles 90.00°, 90.00° and 90.00°. The asymmetric unit holds Al at (0.000, 0.500, 0.250), Sn at (0.000, 0.000, 0.000) and Ge at (0.000, 0.000, 0.386).

=====

Record 15
Entry from Alexandria via LeMat-Bulk: a relaxed Nd2Tm3Sn crystal (PBE).

As for the crystal system: orthorhombic. For the calculated total energy, the calculation gives -4.7297 eV per atom.

The structure belongs to space group Cmmm (No. 65); the cell edges are 4.848, 15.139 and 4.884 Å and the angles 90.00°, 90.00° and 90.00°. The asymmetric unit holds Nd at (0.000, 0.160, 0.000), Tm at (0.000, 0.000, 0.500), Tm at (0.000, 0.336, 0.500) and Sn at (0.000, 0.500, 0.000).

=====

Record 16
Entry from Alexandria via LeMat-Bulk: a relaxed Pu2ZrGa crystal (PBE).

The value obtained for the energy relative to the lowest polymorph listed for this composition is 302 meV per atom. As for the crystal system: cubic.

The structure belongs to space group Fm-3m (No. 225); the cell edges are 7.207, 7.207 and 7.207 Å and the angles 90.00°, 90.00° and 90.00°. The asymmetric unit holds Pu at (0.250, 0.250, 0.250), Zr at (0.000, 0.000, 0.000) and Ga at (0.000, 0.000, 0.500).

=====

Record 17
Entry from Alexandria via LeMat-Bulk: a relaxed Sr2AgIrI crystal (PBE).

As for the crystal system: tetragonal. Its uncorrected formation energy is 2.98 eV per formula unit.

The structure belongs to space group P4/mmm (No. 123); the cell edges are 5.956, 5.956 and 5.321 Å and the angles 90.00°, 90.00° and 90.00°. The asymmetric unit holds Sr at (0.000, 0.500, 0.000), Ag at (0.000, 0.000, 0.000), Ir at (0.500, 0.500, 0.500) and I at (0.000, 0.000, 0.500).

=====

Record 18
Entry from Alexandria via LeMat-Bulk: a relaxed Ce2Si4Ir3Pd crystal (PBE).

As for the crystal system: tetragonal. Its uncorrected formation energy is -9.97 eV per formula unit.

The structure belongs to space group P-4m2 (No. 115); the cell edges are 4.169, 4.169 and 9.983 Å and the angles 90.00°, 90.00° and 90.00°. The asymmetric unit holds Ce at (0.000, 0.500, 0.241), Si at (0.000, 0.000, 0.000), Si at (0.000, 0.500, 0.634), Si at (0.500, 0.500, 0.000), Ir at (0.000, 0.500, 0.874), Ir at (0.500, 0.500, 0.500) and Pd at (0.000, 0.000, 0.500).

=====

Record 19
Entry from Alexandria via LeMat-Bulk: a relaxed CrTcB crystal (PBE).

The value obtained for the energy relative to the lowest polymorph listed for this composition is 104 meV per atom. As for the crystal system: orthorhombic.

The structure belongs to space group Cmcm (No. 63); the cell edges are 3.011, 14.009 and 3.012 Å and the angles 90.00°, 90.00° and 90.00°. The asymmetric unit holds Cr at (0.000, 0.212, 0.250), Tc at (0.000, 0.411, 0.250) and B at (0.000, 0.038, 0.250).

=====

Record 20
Entry from Alexandria via LeMat-Bulk: a relaxed SeI2NF crystal (PBE).

The value obtained for the energy relative to the lowest polymorph listed for this composition is 0 meV per atom. As for the crystal system: tetragonal. Its uncorrected formation energy is 3.79 eV per formula unit.

The structure belongs to space group P4/mmm (No. 123); the cell edges are 6.126, 6.126 and 3.567 Å and the angles 90.00°, 90.00° and 90.00°. The asymmetric unit holds Se at (0.000, 0.000, 0.000), I at (0.000, 0.500, 0.000), N at (0.000, 0.000, 0.500) and F at (0.500, 0.500, 0.500).